No. 1
VASP calculation (PBE-GGA) on crystalline CrS2N at its relaxed geometry.

```
4
Lattice="2.013 0.000 5.653 -1.007 1.744 5.653 -1.007 -1.744 5.653" Properties=species:S:1:pos:R:3 pbc="T T T"
Cr 0.000 0.000 8.480
N 0.000 0.000 0.000
S 0.000 0.000 1.572
S 0.000 0.000 15.389
```

Calculated volume = 14.887 Å³ per atom
Uncorrected formation energy = 0.27 eV per atom
E_tot = -6.2789 eV/atom
Magnetic moment = 2.3 μB per formula unit


No. 2
VASP calculation (PBE-GGA) on crystalline Rb2SrI6Cl at its relaxed geometry.

```
10
Lattice="9.500 0.000 0.000 0.000 9.500 0.000 4.750 4.750 5.881" Properties=species:S:1:pos:R:3 pbc="T T T"
Sr 0.000 0.000 0.000
I 7.252 7.252 0.000
I 4.750 4.750 2.594
I 2.247 2.247 0.000
I 9.500 9.500 3.287
I 2.247 7.252 0.000
I 7.252 2.247 0.000
Rb 4.750 9.500 2.940
Rb 9.500 4.750 2.940
Cl 4.750 4.750 0.000
```

Calculated volume = 53.071 Å³ per atom
Uncorrected formation energy = -0.89 eV per atom
E_tot = -2.3660 eV/atom
Magnetic moment = 0.0 μB per formula unit


No. 3
VASP calculation (PBE-GGA) on crystalline K3Pm2AgO6 at its relaxed geometry.

```
12
Lattice="6.169 -0.050 0.040 -3.126 5.319 0.040 -0.975 -1.688 6.254" Properties=species:S:1:pos:R:3 pbc="T T T"
O -0.063 -0.108 5.230
O -1.100 1.885 1.331
O -0.114 3.592 5.003
O 3.169 1.696 5.003
O 2.183 -0.011 1.331
O 2.131 3.689 1.104
Pm -0.084 3.561 0.040
Pm 3.127 1.708 0.040
Ag 0.000 0.000 0.000
K -2.139 3.623 3.167
K 1.034 1.791 3.167
K 4.207 -0.042 3.167
```

Calculated volume = 17.089 Å³ per atom
Uncorrected formation energy = -1.89 eV per atom
E_tot = -5.6716 eV/atom
Magnetic moment = 0.0 μB per formula unit


No. 4
VASP calculation (PBE-GGA) on crystalline BeBPO2 at its relaxed geometry.

```
5
Lattice="-1.746 1.852 -1.691 -0.457 -2.261 -2.004 -5.844 -2.114 3.719" Properties=species:S:1:pos:R:3 pbc="T T T"
B -4.024 -1.262 0.012
Be 0.000 0.000 0.000
O -0.873 0.926 -0.845
O -0.229 -1.130 -1.002
P -2.922 -1.057 1.860
```

Calculated volume = 13.524 Å³ per atom
Uncorrected formation energy = 0.00 eV per atom
E_tot = -5.1446 eV/atom
Distance to the lowest polymorph of the same formula = 198 meV/atom
Magnetic moment = 0.0 μB per formula unit